{"formula": "LaDyEr2P4", "functional": "PBE-GGA", "state": "relaxed", "total_energy_ev_per_cell": -52.95, "density_g_cm3": 6.679, "magnetic_moment_mub_per_cell": 0.0, "sg": "No. 10", "ef_kcal_per_mol_atoms": -36.485, "lattice_angstrom": [[7.024, 0.000, 0.000], [0.000, 4.059, 0.000], [-2.337, 0.000, 6.626]], "species": ["La", "Dy", "Er", "Er", "P", "P", "P", "P"], "fractional_positions": [[0.000, 0.000, 0.000], [0.000, 0.500, 0.500], [0.500, 0.000, 0.500], [0.500, 0.500, 0.000], [0.257, 0.000, 0.746], [0.262, 0.500, 0.260], [0.738, 0.500, 0.740], [0.743, 0.000, 0.254]]}